Compound: ZrInRuC2
Source: the Alexandria database
Functional: PBE
Structure: relaxed

Symmetry: No. 123
E_form, eV/atom: 1.26
Magnetic moment, μB per cell: 0.000

Unit cell a=4.048 b=5.323 c=4.048 alpha=90.00 beta=90.00 gamma=90.00
Element x y z (fractional)
Ru: 0.000 0.000 0.000
Zr: 0.000 0.500 0.000
C: 0.500 0.000 0.000
C: 0.000 0.000 0.500
In: 0.500 0.500 0.500

Compound: Sr2MoP2
Source: the Alexandria database
Functional: PBE
Structure: relaxed

Symmetry: No. 127
E_form, eV/atom: -0.42
Magnetic moment, μB per cell: 0.000

Unit cell a=6.819 b=6.819 c=4.708 alpha=90.00 beta=90.00 gamma=90.00
Element x y z (fractional)
Sr: 0.832 0.332 0.500
P: 0.649 0.149 0.000
Mo: 0.000 0.000 0.000
P: 0.351 0.851 0.000
Sr: 0.668 0.832 0.500
Sr: 0.168 0.668 0.500
Sr: 0.332 0.168 0.500
Mo: 0.500 0.500 0.000
P: 0.149 0.351 0.000
P: 0.851 0.649 0.000

Compound: CuI4N2
Source: the Alexandria database
Functional: PBE
Structure: relaxed

Symmetry: No. 2
DFT total energy, hartree per atom: -0.106
Magnetic moment, μB per cell: 0.881

Unit cell a=4.762 b=7.710 c=6.015 alpha=95.07 beta=90.83 gamma=84.46
Element x y z (fractional)
N: 0.753 0.652 0.468
I: 0.377 0.146 0.208
I: 0.138 0.654 0.354
N: 0.247 0.348 0.532
I: 0.623 0.854 0.792
I: 0.862 0.346 0.646
Cu: 0.000 0.000 0.000

Compound: BeCr3Os
Source: the Alexandria database
Functional: PBE
Structure: relaxed

ΔE to the lowest computed polymorph, kJ/mol of formula units: 413
Symmetry: No. 221
E_form, eV/atom: 1.63
Magnetic moment, μB per cell: 8.189

Unit cell a=4.635 b=4.635 c=4.635 alpha=90.00 beta=90.00 gamma=90.00
Element x y z (fractional)
Cr: 0.000 0.500 0.000
Os: 0.000 0.000 0.000
Cr: 0.500 0.000 0.000
Cr: 0.000 0.000 0.500
Be: 0.500 0.500 0.500

Compound: SrScCd4
Source: the Alexandria database
Functional: PBE
Structure: relaxed

Symmetry: No. 216
E_form, eV/atom: -0.19
Magnetic moment, μB per cell: 0.000

Unit cell a=5.966 b=5.966 c=5.966 alpha=60.00 beta=60.00 gamma=60.00
Element x y z (fractional)
Sc: 0.750 0.750 0.750
Cd: 0.873 0.376 0.376
Cd: 0.376 0.873 0.376
Cd: 0.376 0.376 0.873
Sr: 0.000 0.000 0.000
Cd: 0.376 0.376 0.376

Compound: BaAl2Rh
Source: the Alexandria database
Functional: PBE
Structure: relaxed

Symmetry: No. 123
E_form, eV/atom: -0.37
Magnetic moment, μB per cell: 0.001

Unit cell a=3.242 b=3.242 c=8.081 alpha=90.00 beta=90.00 gamma=89.99
Element x y z (fractional)
Rh: 0.500 0.500 0.750
Al: 0.000 0.000 0.583
Ba: 0.500 0.500 0.250
Al: 0.000 0.000 0.917

Compound: TaIrBr2
Source: the Alexandria database
Functional: PBE
Structure: relaxed

ΔE to the lowest computed polymorph, kJ/mol of formula units: 548
Symmetry: No. 139
Magnetic moment, μB per cell: 0.570

Unit cell a=5.089 b=5.089 c=5.089 alpha=131.01 beta=131.01 gamma=71.80
Element x y z (fractional)
Ta: 0.750 0.250 0.500
Br: 0.500 0.500 0.000
Br: 0.000 0.000 0.000
Ir: 0.250 0.750 0.500

Compound: Zr5Os
Source: the Alexandria database
Functional: PBE
Structure: relaxed

ΔE to the lowest computed polymorph, kJ/mol of formula units: 159
Symmetry: No. 140
E_form, eV/atom: 0.11
Magnetic moment, μB per cell: 0.000

Unit cell a=6.996 b=6.996 c=7.444 alpha=118.03 beta=118.03 gamma=90.00
Element x y z (fractional)
Zr: 0.202 0.015 0.717
Os: 0.750 0.750 0.500
Zr: 0.702 0.202 0.717
Zr: 0.500 0.500 0.000
Zr: 0.015 0.515 0.717
Zr: 0.515 0.702 0.717
Os: 0.250 0.250 0.500
Zr: 0.298 0.798 0.283
Zr: 0.485 0.298 0.283
Zr: 0.798 0.985 0.283
Zr: 0.985 0.485 0.283
Zr: 0.000 0.000 0.000

Compound: TmSnHg2
Source: the Alexandria database
Functional: PBE
Structure: relaxed

Symmetry: No. 166
E_form, eV/atom: -0.26
Magnetic moment, μB per cell: 0.000

Unit cell a=4.772 b=4.772 c=5.838 alpha=65.88 beta=65.88 gamma=60.00
Element x y z (fractional)
Hg: 0.747 0.747 0.759
Tm: 0.500 0.500 0.500
Sn: 0.000 0.000 0.000
Hg: 0.253 0.253 0.241

Compound: PmPaSbBr
Source: the Alexandria database
Functional: PBE
Structure: relaxed

Symmetry: No. 216
DFT total energy, hartree per atom: -0.208
Magnetic moment, μB per cell: 1.207

Unit cell a=5.289 b=5.289 c=5.289 alpha=60.00 beta=60.00 gamma=60.00
Element x y z (fractional)
Pa: 0.000 0.000 0.000
Sb: 0.750 0.750 0.750
Br: 0.250 0.250 0.250
Pm: 0.500 0.500 0.500

Compound: Sm3GaGe2
Source: the Alexandria database
Functional: PBE
Structure: relaxed

ΔE to the lowest computed polymorph, kJ/mol of formula units: 0
Symmetry: No. 62
E_form, eV/atom: -0.75
Magnetic moment, μB per cell: 0.000

Unit cell a=4.249 b=11.869 c=11.873 alpha=90.00 beta=90.00 gamma=90.00
Element x y z (fractional)
Sm: 0.750 0.879 0.443
Ge: 0.250 0.498 0.813
Sm: 0.750 0.939 0.124
Sm: 0.750 0.199 0.297
Ge: 0.250 0.686 0.482
Ge: 0.250 0.002 0.313
Sm: 0.750 0.301 0.797
Sm: 0.250 0.699 0.203
Ge: 0.750 0.186 0.018
Ge: 0.750 0.314 0.518
Sm: 0.250 0.121 0.557
Ga: 0.750 0.634 0.365
Ga: 0.750 0.866 0.865
Ge: 0.750 0.502 0.187
Sm: 0.250 0.801 0.703
Ga: 0.250 0.134 0.135
Sm: 0.250 0.379 0.057
Ge: 0.250 0.814 0.982
Sm: 0.250 0.061 0.876
Sm: 0.750 0.561 0.624
Sm: 0.750 0.621 0.943
Sm: 0.250 0.439 0.376
Ga: 0.250 0.366 0.635
Ge: 0.750 0.998 0.687

Compound: Ac2PmSn3Pd4
Source: the Alexandria database
Functional: PBE
Structure: relaxed

Symmetry: No. 115
E_form, eV/atom: -0.83
Magnetic moment, μB per cell: 0.000

Unit cell a=4.716 b=4.716 c=11.278 alpha=90.00 beta=90.00 gamma=90.00
Element x y z (fractional)
Pm: 0.500 0.500 0.500
Ac: 0.500 0.000 0.226
Sn: 0.500 0.000 0.881
Sn: 0.000 0.500 0.119
Sn: 0.000 0.000 0.500
Pd: 0.500 0.500 0.000
Ac: 0.000 0.500 0.774
Pd: 0.000 0.000 0.000
Pd: 0.000 0.500 0.354
Pd: 0.500 0.000 0.646